The following is a PBE calculation of crystalline Er3Te2P at its relaxed geometry, from the Open Quantum Materials Database.

Geometry as CIF:
```
data_Er3Te2P
_space_group_name_H-M_alt 'P -3 m 1'
_space_group_IT_number 164
_space_group_name_Hall '-P 3 2"'
_cell_length_a 4.1422
_cell_length_b 4.1422
_cell_length_c 10.6226
_cell_angle_alpha 90.00
_cell_angle_beta 90.00
_cell_angle_gamma 120.00
loop_
_atom_site_label
_atom_site_fract_x
_atom_site_fract_y
_atom_site_fract_z
_atom_site_occupancy
Er1 0.0000 0.0000 0.0000 1
Er2 0.3333 0.6667 0.6319 1
Te1 0.3333 0.6667 0.1769 1
P1 0.0000 0.0000 0.5000 1
```

Computed properties:
Volume (Å³ per atom): 26.3
Total energy (eV/atom): -5.642